Model P:
Density functional theory data (PBE-GGA) for TmTc3Ge3 after structural relaxation.

Density, g cm⁻³: 9.42

Lattice parameters (Å, degrees): 4.7845 7.6118 7.6118 120.00 90.00 90.00
Atoms (fractional coordinates):
Ge (0.2500, 0.9781, 0.2458)
Ge (0.7500, 0.7323, 0.9781)
Ge (0.7500, 0.2458, 0.2677)
Ge (0.2500, 0.7542, 0.7323)
Ge (0.2500, 0.2677, 0.0219)
Ge (0.7500, 0.0219, 0.7542)
Tc (0.2500, 0.3529, 0.4490)
Tc (0.2500, 0.5510, 0.9039)
Tc (0.7500, 0.6471, 0.5510)
Tc (0.2500, 0.0961, 0.6471)
Tc (0.7500, 0.9039, 0.3529)
Tc (0.7500, 0.4490, 0.0961)
Tm (0.7500, 0.3333, 0.6667)
Tm (0.2500, 0.6667, 0.3333)

***

Model Q:
Density functional theory data (PBE-GGA) for TmTc3Ge3 after structural relaxation.

Density, g cm⁻³: 7.34

Lattice parameters (Å, degrees): 6.7533 6.7533 6.7533 90.00 90.00 90.00
Atoms (fractional coordinates):
Tm (0.5000, 0.5000, 0.5000)
Tm (0.0000, 0.0000, 0.0000)
Ge (0.2500, 0.5000, 0.0000)
Ge (0.5000, 0.0000, 0.2500)
Ge (0.0000, 0.7500, 0.5000)
Ge (0.0000, 0.2500, 0.5000)
Ge (0.5000, 0.0000, 0.7500)
Ge (0.7500, 0.5000, 0.0000)
Tc (0.2500, 0.0000, 0.5000)
Tc (0.5000, 0.7500, 0.0000)
Tc (0.0000, 0.5000, 0.2500)
Tc (0.7500, 0.0000, 0.5000)
Tc (0.0000, 0.5000, 0.7500)
Tc (0.5000, 0.2500, 0.0000)

***

model P has the most favorable energy; the next structure is 0.392 eV/atom above.

***

Model P:
Density functional theory data (PBE-GGA) for TmTc2Ge2 after structural relaxation.

Density, g cm⁻³: 8.85

Lattice parameters (Å, degrees): 5.7677 5.7677 7.3951 100.25 100.25 123.02
Atoms (fractional coordinates):
Tm (0.1250, 0.3750, 0.2500)
Tm (0.8750, 0.6250, 0.7500)
Tc (0.2668, 0.0166, 0.5330)
Tc (0.5166, 0.7668, 0.0330)
Tc (0.7332, 0.9834, 0.4670)
Tc (0.4834, 0.2332, 0.9670)
Ge (0.4279, 0.0721, 0.2500)
Ge (0.1781, 0.3219, 0.7500)
Ge (0.8219, 0.6781, 0.2500)
Ge (0.5721, 0.9279, 0.7500)

***

Model Q:
Density functional theory data (PBE-GGA) for TmTc2Ge2 after structural relaxation.

Density, g cm⁻³: 9.23

Lattice parameters (Å, degrees): 4.1177 4.1861 10.9686 98.54 100.82 90.00
Atoms (fractional coordinates):
Ge (0.8903, 0.1619, 0.7806)
Ge (0.2281, 0.8367, 0.4562)
Ge (0.7719, 0.1633, 0.5438)
Ge (0.1097, 0.8381, 0.2194)
Tc (0.4642, 0.2227, 0.9284)
Tc (0.9626, 0.7198, 0.9252)
Tc (0.0374, 0.2802, 0.0748)
Tc (0.5358, 0.7773, 0.0716)
Tm (0.6484, 0.3600, 0.2968)
Tm (0.3516, 0.6400, 0.7032)

***

model Q has the most favorable energy; the next structure is 0.151 eV/atom above.